The following is a DFT calculation (PBE-GGA) of a geometry-optimized Ac2YBi2O2 structure.

abc: 4.5437 4.5437 9.3127
angles: 104.12 104.12 90.00
Fractional coordinates of all 7 atoms:
Bi 0.8123 0.8123 0.6246
Bi 0.1877 0.1877 0.3754
Y 0.0000 0.0000 0.0000
Ac 0.6114 0.6114 0.2229
O 0.5000 0.0000 0.0000
O 0.0000 0.5000 0.0000
Ac 0.3886 0.3886 0.7771

Computed properties:
Formation energy from raw total energies, eV/atom: -1.91
Size of the total moment, μB per formula unit: 0.00
E, eV/atom: -6.531
Space-group type: I4/mmm